No. 1
This record from the Alexandria database describes crystalline ZnCuRe at its relaxed geometry. The functional is PBE.

Uncorrected energy   -17.33 eV per formula unit
Energy of formation   47 kJ/mol of formula units

abc: 2.7009 2.7009 6.5836
angles: 90.00 90.00 120.00
Closest atoms and distances in Å follow each position.
Space group P3m1 (No. 156)
One atom of each set of equivalent atoms:
Zn (0.0000, 0.0000, 0.0000) x1  3 Cu 2.62, 6 Zn 2.70, 3 Re 2.77
Cu (0.3333, 0.6667, 0.3197) x1  3 Zn 2.62, 3 Re 2.69, 6 Cu 2.70
Re (0.6667, 0.3333, 0.6518) x1  3 Cu 2.69, 6 Re 2.70, 3 Zn 2.77

***

No. 2
This record from the Alexandria database describes crystalline Zn3CuRe at its relaxed geometry. The functional is PBE.

Uncorrected energy   -15.03 eV per formula unit
Energy of formation   515 kJ/mol of formula units

abc: 4.3853 4.3853 4.3853
angles: 90.00 90.00 90.00
Closest atoms and distances in Å follow each position.
Space group Pm-3m (No. 221)
One atom of each set of equivalent atoms:
Zn (0.0000, 0.0000, 0.5000) x3  2 Cu 2.19
Cu (0.0000, 0.0000, 0.0000) x1  6 Zn 2.19
Re (0.5000, 0.5000, 0.5000) x1  12 Zn 3.10

***

Q: Which of these has the lowest energy of formation?
A: ZnCuRe